i | Computed, not measured: a geometry-optimized CaHf4Se8 structure at the PBE level of DFT.

Output
* density of states at the Fermi level: 7.77 states/eV/f.u.

Cell and atoms, written as CIF:
```
data_CaHf4Se8
_space_group_name_H-M_alt 'F -4 3 m'
_space_group_IT_number 216
_space_group_name_Hall 'F -4 2 3'
_cell_length_a 11.2251
_cell_length_b 11.2251
_cell_length_c 11.2251
_cell_angle_alpha 90.00
_cell_angle_beta 90.00
_cell_angle_gamma 90.00
loop_
_atom_site_label
_atom_site_type_symbol
_atom_site_fract_x
_atom_site_fract_y
_atom_site_fract_z
Ca1 Ca 0.0000 0.0000 0.0000
Hf1 Hf 0.1169 0.1169 0.6169
Se1 Se 0.1216 0.1216 0.3784
Se2 Se 0.1396 0.1396 0.8604
```

ii | Computed, not measured: a geometry-optimized CaHf4Se8 structure at the PBE level of DFT.

Output
* density of states at the Fermi level: 4.57 states/eV/f.u.

Cell and atoms, written as CIF:
```
data_CaHf4Se8
_space_group_name_H-M_alt 'R -3 m'
_space_group_IT_number 166
_space_group_name_Hall '-R 3 2"'
_cell_length_a 7.5076
_cell_length_b 7.5076
_cell_length_c 21.1462
_cell_angle_alpha 90.00
_cell_angle_beta 90.00
_cell_angle_gamma 120.00
loop_
_atom_site_label
_atom_site_type_symbol
_atom_site_fract_x
_atom_site_fract_y
_atom_site_fract_z
Ca1 Ca 0.0000 0.0000 0.0000
Hf1 Hf 0.0000 0.0000 0.5000
Hf2 Hf 0.0000 0.5000 0.5000
Se1 Se 0.0000 0.0000 0.2414
Se2 Se 0.0052 0.5026 0.2431
```

Which of them is most stable? Easy: ii.

i | Computed, not measured: a geometry-optimized Ca3HfSi structure at the PBE level of DFT.

Output
* density of states at the Fermi level: 5.57 states/eV/f.u.

Cell and atoms, written as CIF:
```
data_Ca3HfSi
_space_group_name_H-M_alt 'P m -3 m'
_space_group_IT_number 221
_space_group_name_Hall '-P 4 2 3'
_cell_length_a 5.6291
_cell_length_b 5.6291
_cell_length_c 5.6291
_cell_angle_alpha 90.00
_cell_angle_beta 90.00
_cell_angle_gamma 90.00
loop_
_atom_site_label
_atom_site_type_symbol
_atom_site_fract_x
_atom_site_fract_y
_atom_site_fract_z
Ca1 Ca 0.0000 0.0000 0.5000
Hf1 Hf 0.0000 0.0000 0.0000
Si1 Si 0.5000 0.5000 0.5000
```

ii | Computed, not measured: a geometry-optimized Ca3HfSi structure at the PBE level of DFT.

Output
* density of states at the Fermi level: 5.90 states/eV/f.u.

Cell and atoms, written as CIF:
```
data_Ca3HfSi
_space_group_name_H-M_alt 'P m -3 m'
_space_group_IT_number 221
_space_group_name_Hall '-P 4 2 3'
_cell_length_a 5.6010
_cell_length_b 5.6010
_cell_length_c 5.6010
_cell_angle_alpha 90.00
_cell_angle_beta 90.00
_cell_angle_gamma 90.00
loop_
_atom_site_label
_atom_site_type_symbol
_atom_site_fract_x
_atom_site_fract_y
_atom_site_fract_z
Ca1 Ca 0.0000 0.0000 0.5000
Hf1 Hf 0.5000 0.5000 0.5000
Si1 Si 0.0000 0.0000 0.0000
```

Which of them is most stable? Easy: ii.

i | Computed, not measured: a geometry-optimized CaHf3Si structure at the PBE level of DFT.

Output
* density of states at the Fermi level: 8.31 states/eV/f.u.

Cell and atoms, written as CIF:
```
data_CaHf3Si
_space_group_name_H-M_alt 'P m -3 m'
_space_group_IT_number 221
_space_group_name_Hall '-P 4 2 3'
_cell_length_a 4.9538
_cell_length_b 4.9538
_cell_length_c 4.9538
_cell_angle_alpha 90.00
_cell_angle_beta 90.00
_cell_angle_gamma 90.00
loop_
_atom_site_label
_atom_site_type_symbol
_atom_site_fract_x
_atom_site_fract_y
_atom_site_fract_z
Ca1 Ca 0.0000 0.0000 0.0000
Hf1 Hf 0.0000 0.0000 0.5000
Si1 Si 0.5000 0.5000 0.5000
```

ii | Computed, not measured: a geometry-optimized CaHf3Si structure at the PBE level of DFT.

Output
* density of states at the Fermi level: 5.65 states/eV/f.u.

Cell and atoms, written as CIF:
```
data_CaHf3Si
_space_group_name_H-M_alt 'P m -3 m'
_space_group_IT_number 221
_space_group_name_Hall '-P 4 2 3'
_cell_length_a 5.0494
_cell_length_b 5.0494
_cell_length_c 5.0494
_cell_angle_alpha 90.00
_cell_angle_beta 90.00
_cell_angle_gamma 90.00
loop_
_atom_site_label
_atom_site_type_symbol
_atom_site_fract_x
_atom_site_fract_y
_atom_site_fract_z
Ca1 Ca 0.0000 0.0000 0.0000
Hf1 Hf 0.0000 0.5000 0.5000
Si1 Si 0.5000 0.5000 0.5000
```

Which of them is most stable? Easy: ii.

i | Computed, not measured: a geometry-optimized CaHfSi3 structure at the PBE level of DFT.

Output
* density of states at the Fermi level: 2.83 states/eV/f.u.

Cell and atoms, written as CIF:
```
data_CaHfSi3
_space_group_name_H-M_alt 'P m -3 m'
_space_group_IT_number 221
_space_group_name_Hall '-P 4 2 3'
_cell_length_a 4.9109
_cell_length_b 4.9109
_cell_length_c 4.9109
_cell_angle_alpha 90.00
_cell_angle_beta 90.00
_cell_angle_gamma 90.00
loop_
_atom_site_label
_atom_site_type_symbol
_atom_site_fract_x
_atom_site_fract_y
_atom_site_fract_z
Ca1 Ca 0.0000 0.0000 0.0000
Hf1 Hf 0.5000 0.5000 0.5000
Si1 Si 0.0000 0.0000 0.5000
```

ii | Computed, not measured: a geometry-optimized CaHfSi3 structure at the PBE level of DFT.

Output
* density of states at the Fermi level: 2.62 states/eV/f.u.

Cell and atoms, written as CIF:
```
data_CaHfSi3
_space_group_name_H-M_alt 'P m -3 m'
_space_group_IT_number 221
_space_group_name_Hall '-P 4 2 3'
_cell_length_a 5.0418
_cell_length_b 5.0418
_cell_length_c 5.0418
_cell_angle_alpha 90.00
_cell_angle_beta 90.00
_cell_angle_gamma 90.00
loop_
_atom_site_label
_atom_site_type_symbol
_atom_site_fract_x
_atom_site_fract_y
_atom_site_fract_z
Ca1 Ca 0.0000 0.0000 0.0000
Hf1 Hf 0.5000 0.5000 0.5000
Si1 Si 0.0000 0.5000 0.5000
```

Which of them is most stable? Easy: ii.